Entry 1:
! MgPaCuRh (PBE-GGA, optimized geometry); values from VASP
&SYSTEM
  ibrav = 0, nat = 4, ntyp = 4
/
ATOMIC_SPECIES
Mg 24.30 Mg.upf
Pa 231.04 Pa.upf
Cu 63.55 Cu.upf
Rh 102.91 Rh.upf
ATOMIC_POSITIONS angstrom
Mg 0.000 0.000 0.000
Pa 3.335 3.335 3.335
Cu 5.002 5.002 5.002
Rh 1.667 1.667 1.667
CELL_PARAMETERS angstrom
0.000 3.335 3.335
3.335 0.000 3.335
3.335 3.335 0.000
! Space-group type   F-43m (216)
! N(E_F)   2.41 states/eV per cell
! Formation enthalpy at 0 K   -295 meV/atom
! M_tot   0.00 μB/f.u.


Entry 2:
! MgPaCuRu (PBE-GGA, optimized geometry); values from VASP
&SYSTEM
  ibrav = 0, nat = 4, ntyp = 4
/
ATOMIC_SPECIES
Mg 24.30 Mg.upf
Pa 231.04 Pa.upf
Cu 63.55 Cu.upf
Ru 101.07 Ru.upf
ATOMIC_POSITIONS angstrom
Mg 0.000 0.000 0.000
Pa 3.317 3.317 3.317
Cu 1.659 1.659 1.659
Ru 4.976 4.976 4.976
CELL_PARAMETERS angstrom
0.000 3.317 3.317
3.317 0.000 3.317
3.317 3.317 0.000
! Space-group type   F-43m (216)
! N(E_F)   5.13 states/eV per cell
! Formation enthalpy at 0 K   -105 meV/atom
! M_tot   0.00 μB/f.u.


Entry 3:
! MgPaCuS4 (PBE-GGA, optimized geometry); values from VASP
&SYSTEM
  ibrav = 0, nat = 14, ntyp = 4
/
ATOMIC_SPECIES
Mg 24.30 Mg.upf
Pa 231.04 Pa.upf
Cu 63.55 Cu.upf
S 32.06 S.upf
ATOMIC_POSITIONS angstrom
Mg -1.852 1.974 2.604
Mg 1.852 1.974 2.604
Pa 0.000 0.000 0.000
Pa 0.000 3.949 0.000
Cu 3.704 1.974 -1.498
Cu 0.000 1.974 6.706
S 1.820 1.974 -0.056
S 1.884 -1.974 5.152
S 0.000 0.118 2.605
S 3.704 0.118 2.603
S 0.000 3.831 2.605
S 3.704 3.831 2.603
S 1.820 5.923 0.056
S 1.884 1.974 5.264
CELL_PARAMETERS angstrom
-3.704 3.949 5.208
3.704 -3.949 5.208
3.704 3.949 -5.208
! Space-group type   Imma (74)
! M_tot   0.00 μB/f.u.


Entry 4:
! MgPaCuSe4 (PBE-GGA, optimized geometry); values from VASP
&SYSTEM
  ibrav = 0, nat = 14, ntyp = 4
/
ATOMIC_SPECIES
Mg 24.30 Mg.upf
Pa 231.04 Pa.upf
Cu 63.55 Cu.upf
Se 78.96 Se.upf
ATOMIC_POSITIONS angstrom
Mg -1.964 2.051 2.741
Mg 1.964 2.051 2.741
Pa 0.000 0.000 0.000
Pa 0.000 4.103 0.000
Cu 3.928 2.051 -1.598
Cu 0.000 2.051 7.081
Se 1.933 2.051 -0.083
Se 1.995 -2.051 5.399
Se 3.928 0.131 2.731
Se 0.000 0.131 2.752
Se 3.928 3.972 2.731
Se 0.000 3.972 2.752
Se 1.933 6.154 0.083
Se 1.995 2.051 5.565
CELL_PARAMETERS angstrom
-3.928 4.103 5.482
3.928 -4.103 5.482
3.928 4.103 -5.482
! Space-group type   Imma (74)
! M_tot   0.00 μB/f.u.


Entry 5:
! MgPaCuSn (PBE-GGA, optimized geometry); values from VASP
&SYSTEM
  ibrav = 0, nat = 4, ntyp = 4
/
ATOMIC_SPECIES
Mg 24.30 Mg.upf
Pa 231.04 Pa.upf
Cu 63.55 Cu.upf
Sn 118.71 Sn.upf
ATOMIC_POSITIONS angstrom
Mg 0.000 0.000 0.000
Pa 3.519 3.519 3.519
Cu 5.278 5.278 5.278
Sn 1.759 1.759 1.759
CELL_PARAMETERS angstrom
0.000 3.519 3.519
3.519 0.000 3.519
3.519 3.519 0.000
! Space-group type   F-43m (216)
! N(E_F)   5.02 states/eV per cell
! Formation enthalpy at 0 K   10 meV/atom
! M_tot   0.00 μB/f.u.


Entry 6:
! MgPaZnCu (PBE-GGA, optimized geometry); values from VASP
&SYSTEM
  ibrav = 0, nat = 4, ntyp = 4
/
ATOMIC_SPECIES
Mg 24.30 Mg.upf
Pa 231.04 Pa.upf
Zn 65.41 Zn.upf
Cu 63.55 Cu.upf
ATOMIC_POSITIONS angstrom
Mg 0.000 0.000 0.000
Pa 3.374 3.374 3.374
Zn 5.061 5.061 5.061
Cu 1.687 1.687 1.687
CELL_PARAMETERS angstrom
0.000 3.374 3.374
3.374 0.000 3.374
3.374 3.374 0.000
! Space-group type   F-43m (216)
! N(E_F)   4.51 states/eV per cell
! Formation enthalpy at 0 K   0 meV/atom
! M_tot   0.00 μB/f.u.


Entry 7:
! Mg4CuPb3 (PBE-GGA, optimized geometry); values from VASP
&SYSTEM
  ibrav = 0, nat = 8, ntyp = 3
/
ATOMIC_SPECIES
Mg 24.30 Mg.upf
Cu 63.55 Cu.upf
Pb 207.20 Pb.upf
ATOMIC_POSITIONS angstrom
Mg 0.000 0.000 1.442
Mg 0.000 0.000 5.808
Mg 0.000 0.000 10.165
Mg 0.000 0.000 14.530
Cu 1.721 1.721 0.000
Pb 1.721 1.721 3.621
Pb 1.721 1.721 7.986
Pb 1.721 1.721 12.352
CELL_PARAMETERS angstrom
3.442 0.000 0.000
0.000 3.442 0.000
0.000 0.000 15.973
! Space-group type   P4/mmm (123)
! N(E_F)   1.67 states/eV per cell
! Formation enthalpy at 0 K   -52 meV/atom
! M_tot   0.00 μB/f.u.


Entry 8:
! Mg2CuPb (PBE-GGA, optimized geometry); values from VASP
&SYSTEM
  ibrav = 0, nat = 4, ntyp = 3
/
ATOMIC_SPECIES
Mg 24.30 Mg.upf
Cu 63.55 Cu.upf
Pb 207.20 Pb.upf
ATOMIC_POSITIONS angstrom
Mg 0.000 0.000 2.079
Mg 0.000 0.000 6.344
Cu 2.193 0.000 0.000
Pb 0.000 2.230 0.000
CELL_PARAMETERS angstrom
-2.193 2.230 4.212
2.193 -2.230 4.212
2.193 2.230 -4.212
! Space-group type   Immm (71)
! N(E_F)   1.71 states/eV per cell
! Formation enthalpy at 0 K   43 meV/atom
! M_tot   0.00 μB/f.u.


Entry 9:
! Mg2CuPb (PBE-GGA, optimized geometry); values from VASP
&SYSTEM
  ibrav = 0, nat = 4, ntyp = 3
/
ATOMIC_SPECIES
Mg 24.30 Mg.upf
Cu 63.55 Cu.upf
Pb 207.20 Pb.upf
ATOMIC_POSITIONS angstrom
Mg 0.000 0.000 0.000
Mg 0.000 2.243 2.270
Cu 1.570 0.000 2.207
Pb 0.000 0.000 4.687
CELL_PARAMETERS angstrom
-1.570 2.243 6.343
1.570 -2.243 6.343
1.570 2.243 -6.343
! Space-group type   Imm2 (44)
! N(E_F)   1.43 states/eV per cell
! Formation enthalpy at 0 K   22 meV/atom
! M_tot   0.00 μB/f.u.


Entry 10:
! MgCu2Pb (PBE-GGA, optimized geometry); values from VASP
&SYSTEM
  ibrav = 0, nat = 4, ntyp = 3
/
ATOMIC_SPECIES
Mg 24.30 Mg.upf
Cu 63.55 Cu.upf
Pb 207.20 Pb.upf
ATOMIC_POSITIONS angstrom
Mg 0.000 0.000 0.000
Cu 0.000 0.000 4.252
Cu 0.000 2.053 2.126
Pb 2.053 0.000 2.126
CELL_PARAMETERS angstrom
-2.053 2.053 4.252
2.053 -2.053 4.252
2.053 2.053 -4.252
! Space-group type   I-4m2 (119)
! N(E_F)   1.00 states/eV per cell
! Formation enthalpy at 0 K   135 meV/atom
! M_tot   0.00 μB/f.u.


Entry 11:
! MgCu2Pb (PBE-GGA, optimized geometry); values from VASP
&SYSTEM
  ibrav = 0, nat = 4, ntyp = 3
/
ATOMIC_SPECIES
Mg 24.30 Mg.upf
Cu 63.55 Cu.upf
Pb 207.20 Pb.upf
ATOMIC_POSITIONS angstrom
Mg 0.000 0.000 0.000
Cu 0.000 0.000 6.716
Cu 0.000 0.000 19.582
Pb 0.000 0.000 13.149
CELL_PARAMETERS angstrom
1.592 0.919 8.766
-1.592 0.919 8.766
0.000 -1.838 8.766
! Space-group type   R-3m (166)
! N(E_F)   1.83 states/eV per cell
! Formation enthalpy at 0 K   248 meV/atom
! M_tot   0.00 μB/f.u.


Entry 12:
! Mg2CuPb (PBE-GGA, optimized geometry); values from VASP
&SYSTEM
  ibrav = 0, nat = 4, ntyp = 3
/
ATOMIC_SPECIES
Mg 24.30 Mg.upf
Cu 63.55 Cu.upf
Pb 207.20 Pb.upf
ATOMIC_POSITIONS angstrom
Mg 0.000 0.000 0.000
Mg 1.744 1.744 1.744
Cu 5.233 5.233 5.233
Pb 3.488 3.488 3.488
CELL_PARAMETERS angstrom
0.000 3.488 3.488
3.488 0.000 3.488
3.488 3.488 0.000
! Space-group type   F-43m (216)
! N(E_F)   2.48 states/eV per cell
! Formation enthalpy at 0 K   128 meV/atom
! M_tot   0.00 μB/f.u.


Entry 13:
! Mg2CuPb (PBE-GGA, optimized geometry); values from VASP
&SYSTEM
  ibrav = 0, nat = 8, ntyp = 3
/
ATOMIC_SPECIES
Mg 24.30 Mg.upf
Cu 63.55 Cu.upf
Pb 207.20 Pb.upf
ATOMIC_POSITIONS angstrom
Mg 5.935 1.540 -0.735
Mg 1.540 1.978 0.735
Mg -1.978 2.416 2.205
Mg 2.416 1.978 3.675
Cu 0.000 0.000 0.000
Cu 0.000 3.956 1.470
Pb 3.956 0.000 1.470
Pb 0.000 0.000 2.940
CELL_PARAMETERS angstrom
-3.956 3.956 2.940
3.956 -3.956 2.940
3.956 3.956 -2.940
! Space-group type   I-42d (122)
! N(E_F)   3.27 states/eV per cell
! Formation enthalpy at 0 K   167 meV/atom
! M_tot   0.00 μB/f.u.


Entry 14:
! MgCuPb3 (PBE-GGA, optimized geometry); values from VASP
&SYSTEM
  ibrav = 0, nat = 5, ntyp = 3
/
ATOMIC_SPECIES
Mg 24.30 Mg.upf
Cu 63.55 Cu.upf
Pb 207.20 Pb.upf
ATOMIC_POSITIONS angstrom
Mg 0.000 0.000 0.000
Cu 2.654 2.654 2.654
Pb 0.000 2.654 2.654
Pb 2.654 0.000 2.654
Pb 2.654 2.654 0.000
CELL_PARAMETERS angstrom
5.307 0.000 0.000
0.000 5.307 0.000
0.000 0.000 5.307
! Space-group type   Pm-3m (221)
! N(E_F)   3.39 states/eV per cell
! Distance to the lowest polymorph of the same formula   0.0 meV/atom
! Formation enthalpy at 0 K   262 meV/atom
! M_tot   0.00 μB/f.u.


Entry 15:
! Mg12Cu6Pb (PBE-GGA, optimized geometry); values from VASP
&SYSTEM
  ibrav = 0, nat = 19, ntyp = 3
/
ATOMIC_SPECIES
Mg 24.30 Mg.upf
Cu 63.55 Cu.upf
Pb 207.20 Pb.upf
ATOMIC_POSITIONS angstrom
Mg 4.514 2.829 -1.898
Mg 2.615 0.000 1.685
Mg 6.412 0.000 1.685
Mg 1.685 2.615 0.000
Mg 2.829 -1.898 4.514
Mg 0.000 1.685 2.615
Mg 4.514 2.829 1.898
Mg 1.685 6.412 0.000
Mg 2.829 1.898 4.514
Mg -1.898 4.514 2.829
Mg 1.898 4.514 2.829
Mg 0.000 1.685 6.412
Cu 4.514 1.178 0.000
Cu 4.514 0.000 3.336
Cu 3.336 4.514 0.000
Cu 1.178 0.000 4.514
Cu 0.000 4.514 1.178
Cu 0.000 3.336 4.514
Pb 0.000 0.000 0.000
CELL_PARAMETERS angstrom
-4.514 4.514 4.514
4.514 -4.514 4.514
4.514 4.514 -4.514
! Space-group type   Im-3 (204)
! N(E_F)   10.98 states/eV per cell
! Formation enthalpy at 0 K   3 meV/atom
! M_tot   0.00 μB/f.u.


Entry 16:
! Mg2CuPb (PBE-GGA, optimized geometry); values from VASP
&SYSTEM
  ibrav = 0, nat = 4, ntyp = 3
/
ATOMIC_SPECIES
Mg 24.30 Mg.upf
Cu 63.55 Cu.upf
Pb 207.20 Pb.upf
ATOMIC_POSITIONS angstrom
Mg 0.000 0.000 0.000
Mg 0.000 2.148 2.259
Cu 0.000 0.000 4.519
Pb 2.148 0.000 2.259
CELL_PARAMETERS angstrom
-2.148 2.148 4.519
2.148 -2.148 4.519
2.148 2.148 -4.519
! Space-group type   I-4m2 (119)
! N(E_F)   1.21 states/eV per cell
! Formation enthalpy at 0 K   57 meV/atom
! M_tot   0.00 μB/f.u.


Entry 17:
! MgCu2Pb (PBE-GGA, optimized geometry); values from VASP
&SYSTEM
  ibrav = 0, nat = 4, ntyp = 3
/
ATOMIC_SPECIES
Mg 24.30 Mg.upf
Cu 63.55 Cu.upf
Pb 207.20 Pb.upf
ATOMIC_POSITIONS angstrom
Mg 0.000 0.000 0.000
Cu 0.107 0.000 3.068
Cu 0.145 2.053 4.470
Pb 1.857 2.053 2.059
CELL_PARAMETERS angstrom
3.489 0.000 0.000
0.000 4.106 0.000
-1.601 0.000 5.216
! Space-group type   Pm (6)
! N(E_F)   1.41 states/eV per cell
! Formation enthalpy at 0 K   64 meV/atom
! M_tot   0.00 μB/f.u.


Entry 18:
! MgCu2Pb2 (PBE-GGA, optimized geometry); values from VASP
&SYSTEM
  ibrav = 0, nat = 10, ntyp = 3
/
ATOMIC_SPECIES
Mg 24.30 Mg.upf
Cu 63.55 Cu.upf
Pb 207.20 Pb.upf
ATOMIC_POSITIONS angstrom
Mg 0.000 0.000 0.000
Mg 4.031 4.031 0.000
Cu 0.944 3.087 1.703
Cu 3.087 7.118 1.703
Cu 4.976 0.944 1.703
Cu 7.118 4.976 1.703
Pb 1.388 5.419 0.000
Pb 2.644 1.388 0.000
Pb 5.419 6.675 0.000
Pb 6.675 2.644 0.000
CELL_PARAMETERS angstrom
8.063 0.000 0.000
0.000 8.063 0.000
0.000 0.000 3.405
! Space-group type   P4/mbm (127)
! N(E_F)   3.49 states/eV per cell
! Distance to the lowest polymorph of the same formula   151.8 meV/atom
! Formation enthalpy at 0 K   269 meV/atom
! M_tot   0.00 μB/f.u.


Entry 19:
! MgCu2Pb2 (PBE-GGA, optimized geometry); values from VASP
&SYSTEM
  ibrav = 0, nat = 10, ntyp = 3
/
ATOMIC_SPECIES
Mg 24.30 Mg.upf
Cu 63.55 Cu.upf
Pb 207.20 Pb.upf
ATOMIC_POSITIONS angstrom
Mg 0.000 0.000 0.000
Mg 3.607 3.607 0.000
Cu 0.893 2.714 0.000
Cu 2.714 6.322 0.000
Cu 4.501 0.893 0.000
Cu 6.322 4.501 0.000
Pb 1.252 4.860 2.034
Pb 2.355 1.252 2.034
Pb 4.860 5.963 2.034
Pb 5.963 2.355 2.034
CELL_PARAMETERS angstrom
7.215 0.000 0.000
0.000 7.215 0.000
0.000 0.000 4.069
! Space-group type   P4/mbm (127)
! N(E_F)   5.04 states/eV per cell
! Distance to the lowest polymorph of the same formula   0.0 meV/atom
! Formation enthalpy at 0 K   117 meV/atom
! M_tot   0.00 μB/f.u.


Entry 20:
! Mg2CuPb (PBE-GGA, optimized geometry); values from VASP
&SYSTEM
  ibrav = 0, nat = 4, ntyp = 3
/
ATOMIC_SPECIES
Mg 24.30 Mg.upf
Cu 63.55 Cu.upf
Pb 207.20 Pb.upf
ATOMIC_POSITIONS angstrom
Mg 1.821 0.000 1.077
Mg 6.162 0.000 3.999
Cu 4.876 0.000 0.000
Pb -0.884 0.000 2.538
CELL_PARAMETERS angstrom
4.876 -1.729 0.000
4.876 1.729 0.000
-1.768 0.000 5.077
! Space-group type   C2/m (12)
! N(E_F)   1.35 states/eV per cell
! Formation enthalpy at 0 K   50 meV/atom
! M_tot   0.00 μB/f.u.


DFT total energy for the records above, in order: -5.929, -6.221, -5.729, -5.173, -4.787, -4.115, -2.752, -2.705, -2.727, -3.239, -3.125, -2.621, -2.582, -3.101, -2.493, -2.691, -3.310, -3.172, -3.324, -2.698 eV/atom